A geometry-optimized RbHoOsO6 structure. Source: Alexandria via LeMat-Bulk, functional PBE-GGA.

abc: 5.6239 5.6239 6.1481
angles: 90.00 90.00 120.00
Space group P312 (No. 149)
Unique sites:
Rb  0.0000  0.0000  0.0000
Ho  0.3333  0.6667  0.5000
Os  0.6667  0.3333  0.5000
O  0.4112  0.0473  0.6773

* calculated volume: 168 Å³ per cell
* formation energy without anion corrections: -1.793 eV/atom


A geometry-optimized Tm4TeCSe2 structure. Source: Alexandria via LeMat-Bulk, functional PBE-GGA.

abc: 6.888 3.909 7.169
angles: 90.00 109.53 90.00
Space group P2/m (No. 10)
Unique sites:
Tm  0.214  0.000  0.204
Tm  0.227  0.500  0.800
Te  0.000  0.000  0.500
C  0.000  0.500  0.000
Se  0.500  0.000  0.000
Se  0.500  0.500  0.500

* calculated volume: 182 Å³ per cell
* formation energy without anion corrections: -1.262 eV/atom


A geometry-optimized Sr2LiCu4Si3 structure. Source: Alexandria via LeMat-Bulk, functional PBE-GGA.

abc: 4.269 4.269 9.779
angles: 90.00 90.00 90.00
Space group P-4m2 (No. 115)
Unique sites:
Sr  0.000  0.500  0.246
Li  0.000  0.000  0.500
Cu  0.000  0.000  0.000
Cu  0.000  0.500  0.626
Cu  0.500  0.500  0.000
Si  0.000  0.500  0.874
Si  0.500  0.500  0.500

* calculated volume: 178 Å³ per cell
* formation energy without anion corrections: -0.298 eV/atom


A geometry-optimized NaSr3LaTi5O15 structure. Source: Alexandria via LeMat-Bulk, functional PBE-GGA.

abc: 5.531 5.531 39.472
angles: 90.00 90.00 90.00
Space group I-42m (No. 121)
Unique sites:
Na  0.000  0.000  0.200
Sr  0.000  0.000  0.000
Sr  0.000  0.000  0.101
Sr  0.000  0.000  0.400
Sr  0.000  0.000  0.500
La  0.000  0.000  0.300
Ti  0.000  0.500  0.050
Ti  0.000  0.500  0.151
Ti  0.000  0.500  0.250
O  0.000  0.500  0.000
O  0.000  0.500  0.101
O  0.000  0.500  0.201
O  0.204  0.204  0.749
O  0.209  0.209  0.348
O  0.220  0.220  0.151
O  0.225  0.225  0.550
O  0.225  0.225  0.950

* calculated volume: 1207 Å³ per cell
* formation energy without anion corrections: -3.086 eV/atom


A geometry-optimized Sm2Tm3In3 structure. Source: Alexandria via LeMat-Bulk, functional PBE-GGA.

abc: 4.875 4.930 9.189
angles: 90.00 90.00 90.00
Space group Pmmm (No. 47)
Unique sites:
Sm  0.000  0.000  0.243
Tm  0.500  0.000  0.500
Tm  0.500  0.500  0.232
In  0.000  0.500  0.000
In  0.000  0.500  0.500
In  0.500  0.000  0.000

* calculated volume: 221 Å³ per cell
* energy of formation: -340 meV per atom
* ΔE to the lowest computed polymorph: 0.00 eV per formula unit


A geometry-optimized PrYPt2 structure. Source: Alexandria via LeMat-Bulk, functional PBE-GGA.

abc: 3.555 3.555 7.193
angles: 90.00 90.00 90.00
Space group P4/mmm (No. 123)
Unique sites:
Pr  0.000  0.000  0.000
Y  0.000  0.000  0.500
Pt  0.500  0.500  0.268

* calculated volume: 91 Å³ per cell
* energy of formation: -1095 meV per atom
* ΔE to the lowest computed polymorph: 0.33 eV per formula unit


A geometry-optimized Y6Ho8Zr structure. Source: Alexandria via LeMat-Bulk, functional PBE-GGA.

abc: 8.9927 8.9927 20.2629
angles: 90.00 90.00 120.00
Space group R-3 (No. 148, hexagonal axes)
Unique sites:
Y  0.0737  0.2525  0.2072
Ho  0.0000  0.0000  0.0759
Ho  0.0845  0.5553  0.3058
Zr  0.0000  0.0000  0.5000

* calculated volume: 1419 Å³ per cell
* energy of formation: 121 meV per atom


A geometry-optimized InSi3F structure. Source: Alexandria via LeMat-Bulk, functional PBE-GGA.

abc: 5.165 5.165 5.165
angles: 90.00 90.00 90.00
Space group Pm-3m (No. 221)
Unique sites:
In  0.000  0.000  0.000
Si  0.000  0.000  0.500
F  0.500  0.500  0.500

* calculated volume: 138 Å³ per cell
* ΔE to the lowest computed polymorph: 3.62 eV per formula unit
* formation energy without anion corrections: 1.101 eV/atom